1.
Entry from the Alexandria database: a relaxed structure of Pr2SmTh (PBE).

Calculated values
**Uncorrected energy**: -83.52 eV/cell
**E above lowest polymorph**: 0.170 eV/atom
**DFT formation energy**: 79 kJ/mol of formula units

a = 8.209 Å, b = 8.209 Å, c = 8.209 Å
α = 90.00°, β = 90.00°, γ = 90.00°
Space group Fm-3m (No. 225)
One atom of each set of equivalent atoms:
Pr: 0.250 0.250 0.250 (multiplicity 8)
Sm: 0.000 0.000 0.000 (multiplicity 4)
Th: 0.000 0.000 0.500 (multiplicity 4)

***

2.
Entry from the Alexandria database: a relaxed structure of Pr2Sm3Th2 (PBE).

Calculated values
**Uncorrected energy**: -38.24 eV/cell
**DFT formation energy**: 31 kJ/mol of formula units

a = 3.638 Å, b = 6.300 Å, c = 10.892 Å
α = 84.38°, β = 89.90°, γ = 73.34°
Space group P-1 (No. 2)
One atom of each set of equivalent atoms:
Pr: 0.072 0.353 0.283 (multiplicity 2)
Sm: 0.356 0.790 0.421 (multiplicity 2)
Sm: 0.500 0.500 0.000 (multiplicity 1)
Th: 0.215 0.069 0.864 (multiplicity 2)

***

3.
Entry from the Alexandria database: a relaxed structure of Pr12Sm7Th (PBE).

Calculated values
**Uncorrected energy**: -288.05 eV/cell
**E above lowest polymorph**: 0.000 eV/atom
**DFT formation energy**: 173 kJ/mol of formula units

a = 13.7899 Å, b = 13.7899 Å, c = 12.7956 Å
α = 90.00°, β = 90.00°, γ = 120.00°
Space group R-3m (No. 166, hexagonal axes)
One atom of each set of equivalent atoms:
Pr: 0.0000 0.2579 0.0000 (multiplicity 18)
Pr: 0.0465 0.5232 0.1144 (multiplicity 18)
Sm: 0.0000 0.0000 0.5000 (multiplicity 3)
Sm: 0.0867 0.1734 0.7664 (multiplicity 18)
Th: 0.0000 0.0000 0.0000 (multiplicity 3)

***

4.
Entry from the Alexandria database: a relaxed structure of Pr6Sm8Th (PBE).

Calculated values
**Uncorrected energy**: -216.36 eV/cell
**DFT formation energy**: 167 kJ/mol of formula units

a = 9.2964 Å, b = 9.2964 Å, c = 21.1391 Å
α = 90.00°, β = 90.00°, γ = 120.00°
Space group R-3 (No. 148, hexagonal axes)
One atom of each set of equivalent atoms:
Pr: 0.0574 0.8093 0.2093 (multiplicity 18)
Sm: 0.0000 0.0000 0.0770 (multiplicity 6)
Sm: 0.0810 0.5203 0.3054 (multiplicity 18)
Th: 0.0000 0.0000 0.5000 (multiplicity 3)

***

5.
Entry from the Alexandria database: a relaxed structure of Pr2SmTh (PBE).

Calculated values
**Uncorrected energy**: -21.51 eV/cell
**E above lowest polymorph**: 0.013 eV/atom
**DFT formation energy**: 18 kJ/mol of formula units

a = 3.647 Å, b = 3.647 Å, c = 10.431 Å
α = 90.00°, β = 90.00°, γ = 90.00°
Space group P4/mmm (No. 123)
One atom of each set of equivalent atoms:
Pr: 0.000 0.000 0.240 (multiplicity 2)
Sm: 0.500 0.500 0.500 (multiplicity 1)
Th: 0.500 0.500 0.000 (multiplicity 1)

***

6.
Entry from the Alexandria database: a relaxed structure of Pr7Sm2Th2 (PBE).

Calculated values
**Uncorrected energy**: -111.59 eV/cell
**E above lowest polymorph**: 0.021 eV/atom
**DFT formation energy**: 187 kJ/mol of formula units

a = 11.408 Å, b = 11.772 Å, c = 6.248 Å
α = 90.00°, β = 112.17°, γ = 90.00°
Space group C2/m (No. 12)
One atom of each set of equivalent atoms:
Pr: 0.000 0.000 0.000 (multiplicity 2)
Pr: 0.173 0.242 0.168 (multiplicity 8)
Pr: 0.237 0.000 0.583 (multiplicity 4)
Sm: 0.000 0.224 0.500 (multiplicity 4)
Th: 0.079 0.500 0.803 (multiplicity 4)

***

7.
Entry from the Alexandria database: a relaxed structure of Pr2Sm6Th3 (PBE).

Calculated values
**Uncorrected energy**: -179.47 eV/cell
**DFT formation energy**: 30 kJ/mol of formula units

a = 3.6282 Å, b = 3.6282 Å, c = 97.4721 Å
α = 90.00°, β = 90.00°, γ = 120.00°
Space group R-3m (No. 166, hexagonal axes)
One atom of each set of equivalent atoms:
Pr: 0.0000 0.0000 0.0459 (multiplicity 6)
Sm: 0.0000 0.0000 0.1368 (multiplicity 6)
Sm: 0.0000 0.0000 0.3181 (multiplicity 6)
Sm: 0.0000 0.0000 0.4111 (multiplicity 6)
Th: 0.0000 0.0000 0.2265 (multiplicity 6)
Th: 0.0000 0.0000 0.5000 (multiplicity 3)

***

8.
Entry from the Alexandria database: a relaxed structure of Pr2Sm4Th (PBE).

Calculated values
**Uncorrected energy**: -71.20 eV/cell
**E above lowest polymorph**: 0.021 eV/atom
**DFT formation energy**: 25 kJ/mol of formula units

a = 6.347 Å, b = 3.657 Å, c = 20.869 Å
α = 90.00°, β = 96.04°, γ = 90.00°
Space group Cm (No. 8)
One atom of each set of equivalent atoms:
Pr: 0.000 0.000 0.000 (multiplicity 2)
Pr: 0.091 0.000 0.287 (multiplicity 2)
Sm: 0.287 0.000 0.855 (multiplicity 2)
Sm: 0.311 0.500 0.432 (multiplicity 2)
Sm: 0.381 0.000 0.145 (multiplicity 2)
Sm: 0.402 0.500 0.713 (multiplicity 2)
Th: 0.188 0.000 0.572 (multiplicity 2)